Density functional theory data (GGA+U) for a relaxed structure of VINO2.

Output
- Volume: 67.0 Å³/cell
- Energy: -0.1557 Ha/atom

The structure in POSCAR format:
```
VINO2
1.0
4.0155 0.0000 0.0000
0.0000 4.0155 0.0000
0.0000 0.0000 4.1552
N I V O
1 1 1 2
direct
0.0000 0.0000 0.0000
0.0000 0.0000 0.5000
0.5000 0.5000 0.5000
0.5000 0.0000 0.0000
0.0000 0.5000 0.0000
```